Here is Nd5Al2Se2 after structural relaxation from the Alexandria database. Energies are from PBE.

```
Nd5Al2Se2
1.0
7.7163 -3.9974 0.0000
7.7163 3.9974 0.0000
0.0000 0.0000 8.0137
Nd Al Se
10 4 4
direct
0.0000 0.0000 0.0000 Nd
0.0295 0.6849 0.6633 Nd
0.1849 0.5295 0.1633 Nd
0.3151 0.9705 0.6633 Nd
0.4705 0.8151 0.1633 Nd
0.5000 0.5000 0.5000 Nd
0.5295 0.1849 0.8367 Nd
0.6849 0.0295 0.3367 Nd
0.8151 0.4705 0.8367 Nd
0.9705 0.3151 0.3367 Nd
0.1190 0.8810 0.3835 Al
0.3810 0.6190 0.8835 Al
0.6190 0.3810 0.1165 Al
0.8810 0.1190 0.6165 Al
0.1967 0.1967 0.0000 Se
0.3033 0.3033 0.5000 Se
0.6967 0.6967 0.5000 Se
0.8033 0.8033 0.0000 Se
```

Computed properties:
- Size of the total moment: 0.0 μB per formula unit
- Space-group type: Cmce (64)
- Raw formation energy: -0.96 eV/atom